(1)
The following is a GGA-PBE calculation of a relaxed DyBiRhAu crystal, from Alexandria via LeMat-Bulk.

```
DyBiRhAu
1.0
0.000 3.502 3.502
3.502 0.000 3.502
3.502 3.502 0.000
Dy Bi Rh Au
1 1 1 1
Direct
0.000 0.000 0.000 Dy
0.500 0.500 0.500 Bi
0.750 0.750 0.750 Rh
0.250 0.250 0.250 Au
```

N(E_F) in states/eV/f.u.: 2.77
E_tot in eV per atom: -5.273
Formation energy from the elements in meV/atom: -495
SG: F-43m (216)

(2)
The following is a GGA-PBE calculation of a relaxed Dy4BiAuSe2 crystal, from Alexandria via LeMat-Bulk.

```
Dy4BiAuSe2
1.0
7.132 0.000 0.000
0.000 4.135 0.000
-2.379 0.000 7.177
Dy Bi Au Se
4 1 1 2
Direct
0.235 0.000 0.234 Dy
0.240 0.500 0.758 Dy
0.760 0.500 0.242 Dy
0.765 0.000 0.766 Dy
0.500 0.500 0.500 Bi
0.000 0.000 0.500 Au
0.000 0.500 0.000 Se
0.500 0.000 0.000 Se
```

N(E_F) in states/eV/f.u.: 3.95
E_tot in eV per atom: -5.319
Raw formation energy in eV per atom: -1.252
SG: P2/m (10)